Density functional theory data (PBE-GGA) for crystalline CaZn2Rh at its relaxed geometry.

Crystal system   tetragonal
E_form   -0.277 eV per atom

a = 3.301 Å, b = 3.301 Å, c = 6.776 Å
α = 90.00°, β = 90.00°, γ = 90.00°
Atoms (fractional coordinates):
Ca 0.000 0.000 0.000
Zn 0.000 0.000 0.454
Zn 0.500 0.500 0.671
Rh 0.500 0.500 0.282

Density functional theory data (PBE-GGA) for crystalline CaZn3Rh3 at its relaxed geometry.

Crystal system   cubic
E_form   0.198 eV per atom

a = 6.748 Å, b = 6.748 Å, c = 6.748 Å
α = 90.00°, β = 90.00°, γ = 90.00°
Atoms (fractional coordinates):
Ca 0.000 0.000 0.000
Ca 0.500 0.500 0.500
Zn 0.000 0.250 0.500
Zn 0.000 0.750 0.500
Zn 0.250 0.500 0.000
Zn 0.500 0.000 0.250
Zn 0.500 0.000 0.750
Zn 0.750 0.500 0.000
Rh 0.000 0.500 0.250
Rh 0.000 0.500 0.750
Rh 0.250 0.000 0.500
Rh 0.500 0.250 0.000
Rh 0.500 0.750 0.000
Rh 0.750 0.000 0.500

Q: What is the E_form in the second record?
A: 0.198 eV per atom

Q: E_form of number 1 (CaZn2Rh)?
A: -0.277 eV per atom

Copy entry 2 word for word.
Density functional theory data (PBE-GGA) for crystalline CaZn3Rh3 at its relaxed geometry.

Crystal system   cubic
E_form   0.198 eV per atom

a = 6.748 Å, b = 6.748 Å, c = 6.748 Å
α = 90.00°, β = 90.00°, γ = 90.00°
Atoms (fractional coordinates):
Ca 0.000 0.000 0.000
Ca 0.500 0.500 0.500
Zn 0.000 0.250 0.500
Zn 0.000 0.750 0.500
Zn 0.250 0.500 0.000
Zn 0.500 0.000 0.250
Zn 0.500 0.000 0.750
Zn 0.750 0.500 0.000
Rh 0.000 0.500 0.250
Rh 0.000 0.500 0.750
Rh 0.250 0.000 0.500
Rh 0.500 0.250 0.000
Rh 0.500 0.750 0.000
Rh 0.750 0.000 0.500

Q: Which of these has the highest E_form?
A: CaZn3Rh3